a) The following is a DFT calculation (PBE) of an optimized crystal structure of Sb3MoAs.

The structure belongs to space group Pm-3m (No. 221); the cell edges are 5.2984, 5.2984 and 5.2984 Å and the angles 90.00°, 90.00° and 90.00°. Symmetry generates all atoms from Sb at (0.0000, 0.0000, 0.5000), Mo at (0.5000, 0.5000, 0.5000) and As at (0.0000, 0.0000, 0.0000).

For the volume, the calculation gives 148.7 Å³/cell. The total magnetization comes out at 0.72 μB per atom.

---

b) The following is a DFT calculation (PBE) of an optimized crystal structure of Sb3MoAs.

The structure belongs to space group Pm-3m (No. 221); the cell edges are 5.1883, 5.1883 and 5.1883 Å and the angles 90.00°, 90.00° and 90.00°. Symmetry generates all atoms from Sb at (0.0000, 0.0000, 0.5000), Mo at (0.0000, 0.0000, 0.0000) and As at (0.5000, 0.5000, 0.5000).

For the volume, the calculation gives 139.7 Å³/cell. The total magnetization comes out at 0.00 μB per atom.

---

Most stable: b). Least stable: a).

---

a) The following is a DFT calculation (PBE) of an optimized crystal structure of Sb2TeMoAs.

The structure belongs to space group P4/mmm (No. 123); the cell edges are 5.2457, 5.2457 and 5.4452 Å and the angles 90.00°, 90.00° and 90.00°. Symmetry generates all atoms from Sb at (0.0000, 0.5000, 0.0000), Te at (0.0000, 0.0000, 0.5000), Mo at (0.5000, 0.5000, 0.5000) and As at (0.0000, 0.0000, 0.0000).

For the volume, the calculation gives 149.8 Å³/cell. The total magnetization comes out at 0.66 μB per atom.

---

b) The following is a DFT calculation (PBE) of an optimized crystal structure of Sb2TeMoAs.

The structure belongs to space group P4/mmm (No. 123); the cell edges are 5.2413, 5.2413 and 5.1341 Å and the angles 90.00°, 90.00° and 90.00°. Symmetry generates all atoms from Sb at (0.0000, 0.5000, 0.0000), Te at (0.0000, 0.0000, 0.5000), Mo at (0.0000, 0.0000, 0.0000) and As at (0.5000, 0.5000, 0.5000).

For the volume, the calculation gives 141.0 Å³/cell. The total magnetization comes out at 0.00 μB per atom.

---

Most stable: b). Least stable: a).

---

a) The following is a DFT calculation (PBE) of an optimized crystal structure of SbTe2MoAs.

The structure belongs to space group P4/mmm (No. 123); the cell edges are 5.4429, 5.4429 and 5.2025 Å and the angles 90.00°, 90.00° and 90.00°. Symmetry generates all atoms from Sb at (0.0000, 0.0000, 0.0000), Te at (0.0000, 0.5000, 0.5000), Mo at (0.5000, 0.5000, 0.0000) and As at (0.0000, 0.0000, 0.5000).

For the volume, the calculation gives 154.1 Å³/cell. The total magnetization comes out at 0.62 μB per atom.

---

b) The following is a DFT calculation (PBE) of an optimized crystal structure of SbTe2MoAs.

The structure belongs to space group P4/mmm (No. 123); the cell edges are 5.1871, 5.1871 and 5.3019 Å and the angles 90.00°, 90.00° and 90.00°. Symmetry generates all atoms from Sb at (0.0000, 0.0000, 0.0000), Te at (0.0000, 0.5000, 0.5000), Mo at (0.0000, 0.0000, 0.5000) and As at (0.5000, 0.5000, 0.0000).

For the volume, the calculation gives 142.7 Å³/cell. The total magnetization comes out at 0.00 μB per atom.

---

Most stable: b). Least stable: a).

---

a) The following is a DFT calculation (PBE) of an optimized crystal structure of ScMoAs2.

The structure belongs to space group Cm (No. 8); the cell edges are 9.3843, 3.3049 and 4.5441 Å and the angles 90.00°, 90.45° and 90.00°. Symmetry generates all atoms from Sc at (0.0000, 0.0000, 0.0000), Mo at (0.2486, 0.0000, 0.5167), As at (0.0305, 0.5000, 0.4961) and As at (0.2252, 0.5000, 0.9907).

For the volume, the calculation gives 140.9 Å³/cell. The total magnetization comes out at 0.01 μB per atom.

---

b) The following is a DFT calculation (PBE) of an optimized crystal structure of ScMoAs2.

The structure belongs to space group Amm2 (No. 38); the cell edges are 4.7999, 3.4237 and 9.2494 Å and the angles 90.00°, 90.00° and 90.00°. Symmetry generates all atoms from Sc at (0.0000, 0.0000, 0.0000), Mo at (0.5000, 0.0000, 0.2964), As at (0.0000, 0.0000, 0.2808) and As at (0.5000, 0.0000, 0.5822).

For the volume, the calculation gives 152.0 Å³/cell. The total magnetization comes out at 0.00 μB per atom.

---

c) The following is a DFT calculation (PBE) of an optimized crystal structure of ScMoAs2.

The structure belongs to space group P4/mmm (No. 123); the cell edges are 4.5716, 4.5716 and 3.2407 Å and the angles 90.00°, 90.00° and 90.00°. Symmetry generates all atoms from Sc at (0.0000, 0.0000, 0.0000), Mo at (0.5000, 0.5000, 0.0000) and As at (0.0000, 0.5000, 0.5000).

For the volume, the calculation gives 67.7 Å³/cell. The total magnetization comes out at 0.00 μB per atom.

---

Most stable: a). Least stable: c).

---

a) The following is a DFT calculation (PBE) of an optimized crystal structure of ScMoAs3.

The structure belongs to space group Pm-3m (No. 221); the cell edges are 4.9613, 4.9613 and 4.9613 Å and the angles 90.00°, 90.00° and 90.00°. Symmetry generates all atoms from Sc at (0.0000, 0.0000, 0.0000), Mo at (0.5000, 0.5000, 0.5000) and As at (0.0000, 0.0000, 0.5000).

For the volume, the calculation gives 122.1 Å³/cell. The total magnetization comes out at 0.08 μB per atom.

---

b) The following is a DFT calculation (PBE) of an optimized crystal structure of ScMoAs3.

The structure belongs to space group Pm-3m (No. 221); the cell edges are 4.8766, 4.8766 and 4.8766 Å and the angles 90.00°, 90.00° and 90.00°. Symmetry generates all atoms from Sc at (0.0000, 0.0000, 0.0000), Mo at (0.5000, 0.5000, 0.5000) and As at (0.0000, 0.5000, 0.5000).

For the volume, the calculation gives 116.0 Å³/cell. The total magnetization comes out at 0.00 μB per atom.

---

Most stable: b). Least stable: a).

---

a) The following is a DFT calculation (PBE) of an optimized crystal structure of ScMoAs2Se.

The structure belongs to space group P4/mmm (No. 123); the cell edges are 5.0523, 5.0523 and 5.0405 Å and the angles 90.00°, 90.00° and 90.00°. Symmetry generates all atoms from Sc at (0.0000, 0.0000, 0.0000), Mo at (0.5000, 0.5000, 0.5000), As at (0.0000, 0.5000, 0.0000) and Se at (0.0000, 0.0000, 0.5000).

For the volume, the calculation gives 128.7 Å³/cell. The total magnetization comes out at 0.70 μB per atom.

---

b) The following is a DFT calculation (PBE) of an optimized crystal structure of ScMoAs2Se.

The structure belongs to space group P4/mmm (No. 123); the cell edges are 4.7708, 4.7708 and 5.2340 Å and the angles 90.00°, 90.00° and 90.00°. Symmetry generates all atoms from Sc at (0.0000, 0.0000, 0.0000), Mo at (0.5000, 0.5000, 0.5000), As at (0.0000, 0.5000, 0.5000) and Se at (0.5000, 0.5000, 0.0000).

For the volume, the calculation gives 119.1 Å³/cell. The total magnetization comes out at 0.10 μB per atom.

---

Most stable: b). Least stable: a).

---

a) The following is a DFT calculation (PBE) of an optimized crystal structure of Mo2AsSe.

The structure belongs to space group P4/mmm (No. 123); the cell edges are 3.1423, 3.1423 and 6.3018 Å and the angles 90.00°, 90.00° and 90.00°. Symmetry generates all atoms from Mo at (0.0000, 0.0000, 0.2372), As at (0.5000, 0.5000, 0.0000) and Se at (0.5000, 0.5000, 0.5000).

For the volume, the calculation gives 62.2 Å³/cell. The total magnetization comes out at 0.00 μB per atom.

---

b) The following is a DFT calculation (PBE) of an optimized crystal structure of Mo2AsSe.

The structure belongs to space group P2/m (No. 10); the cell edges are 4.3061, 3.0869 and 5.3059 Å and the angles 90.00°, 113.30° and 90.00°. Symmetry generates all atoms from Mo at (0.0000, 0.0000, 0.0000), Mo at (0.5000, 0.5000, 0.5000), As at (0.0000, 0.0000, 0.5000) and Se at (0.5000, 0.5000, 0.0000).

For the volume, the calculation gives 64.8 Å³/cell. The total magnetization comes out at 0.00 μB per atom.

---

c) The following is a DFT calculation (PBE) of an optimized crystal structure of Mo2AsSe.

The structure belongs to space group Fm-3m (No. 225); the cell edges are 6.2780, 6.2780 and 6.2780 Å and the angles 90.00°, 90.00° and 90.00°. Symmetry generates all atoms from Mo at (0.2500, 0.2500, 0.2500), As at (0.0000, 0.0000, 0.0000) and Se at (0.0000, 0.0000, 0.5000).

For the volume, the calculation gives 247.4 Å³/cell. The total magnetization comes out at 0.00 μB per atom.

---

Most stable: a). Least stable: b).

---

a) The following is a DFT calculation (PBE) of an optimized crystal structure of MoAs3Se.

The structure belongs to space group Pm-3m (No. 221); the cell edges are 4.8617, 4.8617 and 4.8617 Å and the angles 90.00°, 90.00° and 90.00°. Symmetry generates all atoms from Mo at (0.0000, 0.0000, 0.0000), As at (0.0000, 0.0000, 0.5000) and Se at (0.5000, 0.5000, 0.5000).

For the volume, the calculation gives 114.9 Å³/cell. The total magnetization comes out at 0.00 μB per atom.

---

b) The following is a DFT calculation (PBE) of an optimized crystal structure of MoAs3Se.

The structure belongs to space group Pm-3m (No. 221); the cell edges are 4.9195, 4.9195 and 4.9195 Å and the angles 90.00°, 90.00° and 90.00°. Symmetry generates all atoms from Mo at (0.0000, 0.0000, 0.0000), As at (0.0000, 0.5000, 0.5000) and Se at (0.5000, 0.5000, 0.5000).

For the volume, the calculation gives 119.1 Å³/cell. The total magnetization comes out at 0.60 μB per atom.

---

Most stable: a). Least stable: b).

---

a) The following is a DFT calculation (PBE) of an optimized crystal structure of SiMoAsSe2.

The structure belongs to space group P4/mmm (No. 123); the cell edges are 4.9438, 4.9438 and 4.8683 Å and the angles 90.00°, 90.00° and 90.00°. Symmetry generates all atoms from Si at (0.0000, 0.0000, 0.0000), Mo at (0.5000, 0.5000, 0.5000), As at (0.5000, 0.5000, 0.0000) and Se at (0.0000, 0.5000, 0.5000).

For the volume, the calculation gives 119.0 Å³/cell. The total magnetization comes out at 0.13 μB per atom.

---

b) The following is a DFT calculation (PBE) of an optimized crystal structure of SiMoAsSe2.

The structure belongs to space group P4/mmm (No. 123); the cell edges are 4.7576, 4.7576 and 4.7292 Å and the angles 90.00°, 90.00° and 90.00°. Symmetry generates all atoms from Si at (0.0000, 0.0000, 0.0000), Mo at (0.5000, 0.5000, 0.5000), As at (0.0000, 0.0000, 0.5000) and Se at (0.0000, 0.5000, 0.0000).

For the volume, the calculation gives 107.0 Å³/cell. The total magnetization comes out at 0.53 μB per atom.

---

Most stable: a). Least stable: b).

---

a) The following is a DFT calculation (PBE) of an optimized crystal structure of SiMoAs2Se.

The structure belongs to space group P4/mmm (No. 123); the cell edges are 4.8695, 4.8695 and 4.9648 Å and the angles 90.00°, 90.00° and 90.00°. Symmetry generates all atoms from Si at (0.0000, 0.0000, 0.0000), Mo at (0.5000, 0.5000, 0.5000), As at (0.0000, 0.5000, 0.5000) and Se at (0.5000, 0.5000, 0.0000).

For the volume, the calculation gives 117.7 Å³/cell. The total magnetization comes out at 0.10 μB per atom.

---

b) The following is a DFT calculation (PBE) of an optimized crystal structure of SiMoAs2Se.

The structure belongs to space group P4/mmm (No. 123); the cell edges are 4.6903, 4.6903 and 4.7656 Å and the angles 90.00°, 90.00° and 90.00°. Symmetry generates all atoms from Si at (0.0000, 0.0000, 0.0000), Mo at (0.5000, 0.5000, 0.5000), As at (0.0000, 0.5000, 0.0000) and Se at (0.0000, 0.0000, 0.5000).

For the volume, the calculation gives 104.8 Å³/cell. The total magnetization comes out at 0.52 μB per atom.

---

Most stable: a). Least stable: b).

---

a) The following is a DFT calculation (PBE) of an optimized crystal structure of SrMoAsSe2.

The structure belongs to space group P4/mmm (No. 123); the cell edges are 5.6472, 5.6472 and 5.6152 Å and the angles 90.00°, 90.00° and 90.00°. Symmetry generates all atoms from Sr at (0.0000, 0.0000, 0.0000), Mo at (0.5000, 0.5000, 0.5000), As at (0.0000, 0.0000, 0.5000) and Se at (0.0000, 0.5000, 0.0000).

For the volume, the calculation gives 179.1 Å³/cell. The total magnetization comes out at 0.50 μB per atom.

---

b) The following is a DFT calculation (PBE) of an optimized crystal structure of SrMoAsSe2.

The structure belongs to space group P4/mmm (No. 123); the cell edges are 5.1151, 5.1151 and 4.8471 Å and the angles 90.00°, 90.00° and 90.00°. Symmetry generates all atoms from Sr at (0.0000, 0.0000, 0.0000), Mo at (0.5000, 0.5000, 0.5000), As at (0.5000, 0.5000, 0.0000) and Se at (0.0000, 0.5000, 0.5000).

For the volume, the calculation gives 126.8 Å³/cell. The total magnetization comes out at 0.09 μB per atom.

---

Most stable: b). Least stable: a).

---

a) The following is a DFT calculation (PBE) of an optimized crystal structure of YMoAsSe2.

The structure belongs to space group P4/mmm (No. 123); the cell edges are 4.9911, 4.9911 and 4.8431 Å and the angles 90.00°, 90.00° and 90.00°. Symmetry generates all atoms from Y at (0.0000, 0.0000, 0.0000), Mo at (0.5000, 0.5000, 0.5000), As at (0.5000, 0.5000, 0.0000) and Se at (0.0000, 0.5000, 0.5000).

For the volume, the calculation gives 120.6 Å³/cell. The total magnetization comes out at 0.19 μB per atom.

---

b) The following is a DFT calculation (PBE) of an optimized crystal structure of YMoAsSe2.

The structure belongs to space group P4/mmm (No. 123); the cell edges are 5.3723, 5.3723 and 5.4460 Å and the angles 90.00°, 90.00° and 90.00°. Symmetry generates all atoms from Y at (0.0000, 0.0000, 0.0000), Mo at (0.5000, 0.5000, 0.5000), As at (0.0000, 0.0000, 0.5000) and Se at (0.0000, 0.5000, 0.0000).

For the volume, the calculation gives 157.2 Å³/cell. The total magnetization comes out at 0.62 μB per atom.

---

Most stable: a). Least stable: b).

---

a) The following is a DFT calculation (PBE) of an optimized crystal structure of YMoAs2Se.

The structure belongs to space group P4/mmm (No. 123); the cell edges are 5.3796, 5.3796 and 5.3365 Å and the angles 90.00°, 90.00° and 90.00°. Symmetry generates all atoms from Y at (0.0000, 0.0000, 0.0000), Mo at (0.5000, 0.5000, 0.5000), As at (0.0000, 0.5000, 0.0000) and Se at (0.0000, 0.0000, 0.5000).

For the volume, the calculation gives 154.4 Å³/cell. The total magnetization comes out at 0.70 μB per atom.

---

b) The following is a DFT calculation (PBE) of an optimized crystal structure of YMoAs2Se.

The structure belongs to space group P4/mmm (No. 123); the cell edges are 4.7602, 4.7602 and 5.3455 Å and the angles 90.00°, 90.00° and 90.00°. Symmetry generates all atoms from Y at (0.0000, 0.0000, 0.0000), Mo at (0.5000, 0.5000, 0.5000), As at (0.0000, 0.5000, 0.5000) and Se at (0.5000, 0.5000, 0.0000).

For the volume, the calculation gives 121.1 Å³/cell. The total magnetization comes out at 0.00 μB per atom.

---

Most stable: b). Least stable: a).